(1)
! Cs2K6PdO PBE-GGA optimized geometry; values from VASP
! * formation energy without anion corrections: -0.251 eV per atom
&SYSTEM
  ibrav = 0, nat = 10, ntyp = 4
/
ATOMIC_SPECIES
K 39.10 K.upf
Cs 132.91 Cs.upf
O 16.00 O.upf
Pd 106.42 Pd.upf
ATOMIC_POSITIONS crystal
K 0.973 0.973 0.250
K 0.592 0.593 0.322
K 0.370 0.949 0.130
K 0.242 0.243 0.923
K 0.948 0.369 0.130
K 0.836 0.836 0.867
Cs 0.627 0.239 0.662
Cs 0.239 0.628 0.662
O 0.086 0.086 0.063
Pd 0.588 0.588 0.989
CELL_PARAMETERS angstrom
7.857 -0.410 0.403
-0.410 7.858 0.406
-3.623 -3.622 8.768

---

(2)
! CsKPdO2 PBE-GGA optimized geometry; values from VASP
! * formation energy without anion corrections: -0.870 eV per atom
&SYSTEM
  ibrav = 0, nat = 10, ntyp = 4
/
ATOMIC_SPECIES
O 16.00 O.upf
Cs 132.91 Cs.upf
Pd 106.42 Pd.upf
K 39.10 K.upf
ATOMIC_POSITIONS crystal
O 0.108 0.750 0.805
O 0.892 0.250 0.195
O 0.108 0.750 0.195
O 0.892 0.250 0.805
Cs 0.214 0.250 0.500
Cs 0.786 0.750 0.500
Pd 0.000 0.000 0.000
Pd 0.000 0.500 0.000
K 0.494 0.750 0.000
K 0.506 0.250 0.000
CELL_PARAMETERS angstrom
-5.486 0.438 1.442
-0.872 -5.706 -1.585
1.508 -1.993 6.343

---

(3)
! Cs2KPdO4 PBE-GGA optimized geometry; values from VASP
! * formation energy without anion corrections: -0.680 eV per atom
&SYSTEM
  ibrav = 0, nat = 16, ntyp = 4
/
ATOMIC_SPECIES
K 39.10 K.upf
O 16.00 O.upf
Cs 132.91 Cs.upf
Pd 106.42 Pd.upf
ATOMIC_POSITIONS crystal
K 0.000 0.000 0.000
K 0.750 0.500 0.500
O 0.216 0.290 0.434
O 0.494 0.290 0.566
O 0.940 0.710 0.566
O 0.350 0.710 0.434
O 0.534 0.210 0.066
O 0.400 0.790 0.066
O 0.810 0.790 0.934
O 0.256 0.210 0.934
Cs 0.943 0.500 0.114
Cs 0.193 0.000 0.614
Cs 0.557 0.500 0.886
Cs 0.807 0.000 0.386
Pd 0.500 0.000 0.000
Pd 0.250 0.500 0.500
CELL_PARAMETERS angstrom
6.243 0.000 0.000
3.122 6.458 0.000
3.122 0.000 12.578

---

(4)
! Cs2K2PtO4 PBE-GGA optimized geometry; values from VASP
! * formation energy without anion corrections: -0.791 eV per atom
&SYSTEM
  ibrav = 0, nat = 9, ntyp = 4
/
ATOMIC_SPECIES
Cs 132.91 Cs.upf
O 16.00 O.upf
K 39.10 K.upf
Pt 195.08 Pt.upf
ATOMIC_POSITIONS crystal
Cs 0.000 0.669 0.669
Cs 0.000 0.331 0.331
O 0.426 0.213 0.213
O 0.000 0.787 0.213
O 0.574 0.787 0.787
O 0.000 0.213 0.787
K 0.500 0.250 0.750
K 0.500 0.750 0.250
Pt 0.000 0.000 0.000
CELL_PARAMETERS angstrom
-4.185 3.669 3.497
2.725 -5.331 2.713
5.962 2.346 -1.469

---

Question: The highest formation energy without anion corrections belongs to which entry?
Answer: Cs2K6PdO